Version 1
A plane-wave DFT calculation with PBE was carried out for crystalline LaV3Os at its relaxed geometry.

Calculated values
DOS at the Fermi energy = 0.9103 states/eV/atom
size of the total moment = 5.0 μB per cell

CIF file:
```
data_LaV3Os
_chemical_formula_sum 'La1 V3 Os1'
_cell_length_a 4.761
_cell_length_b 4.761
_cell_length_c 4.761
_cell_angle_alpha 90.00
_cell_angle_beta 90.00
_cell_angle_gamma 90.00
_space_group_name_H-M_alt 'P m -3 m'
_space_group_IT_number 221
_space_group_name_Hall '-P 4 2 3'
loop_
_atom_site_label
_atom_site_fract_x
_atom_site_fract_y
_atom_site_fract_z
La1 0.000 0.000 0.000
V1 0.000 0.500 0.500
Os1 0.500 0.500 0.500
```



Version 2
A plane-wave DFT calculation with PBE was carried out for crystalline LaV3Os at its relaxed geometry.

Calculated values
DOS at the Fermi energy = 1.6970 states/eV/atom
size of the total moment = 0.0 μB per cell

CIF file:
```
data_LaV3Os
_chemical_formula_sum 'La1 V3 Os1'
_cell_length_a 4.472
_cell_length_b 4.472
_cell_length_c 4.472
_cell_angle_alpha 90.00
_cell_angle_beta 90.00
_cell_angle_gamma 90.00
_space_group_name_H-M_alt 'P m -3 m'
_space_group_IT_number 221
_space_group_name_Hall '-P 4 2 3'
loop_
_atom_site_label
_atom_site_fract_x
_atom_site_fract_y
_atom_site_fract_z
La1 0.000 0.000 0.000
V1 0.000 0.000 0.500
Os1 0.500 0.500 0.500
```



Winner for stability: version 1



Version 1
A plane-wave DFT calculation with PBE was carried out for crystalline LaOsW3 at its relaxed geometry.

Calculated values
DOS at the Fermi energy = 0.8822 states/eV/atom
size of the total moment = 0.0 μB per cell

CIF file:
```
data_LaOsW3
_chemical_formula_sum 'La1 Os1 W3'
_cell_length_a 4.697
_cell_length_b 4.697
_cell_length_c 4.697
_cell_angle_alpha 90.00
_cell_angle_beta 90.00
_cell_angle_gamma 90.00
_space_group_name_H-M_alt 'P m -3 m'
_space_group_IT_number 221
_space_group_name_Hall '-P 4 2 3'
loop_
_atom_site_label
_atom_site_fract_x
_atom_site_fract_y
_atom_site_fract_z
La1 0.000 0.000 0.000
Os1 0.500 0.500 0.500
W1 0.000 0.000 0.500
```



Version 2
A plane-wave DFT calculation with PBE was carried out for crystalline LaOsW3 at its relaxed geometry.

Calculated values
DOS at the Fermi energy = 0.7894 states/eV/atom
size of the total moment = 2.1 μB per cell

CIF file:
```
data_LaOsW3
_chemical_formula_sum 'La1 Os1 W3'
_cell_length_a 4.868
_cell_length_b 4.868
_cell_length_c 4.868
_cell_angle_alpha 90.00
_cell_angle_beta 90.00
_cell_angle_gamma 90.00
_space_group_name_H-M_alt 'P m -3 m'
_space_group_IT_number 221
_space_group_name_Hall '-P 4 2 3'
loop_
_atom_site_label
_atom_site_fract_x
_atom_site_fract_y
_atom_site_fract_z
La1 0.000 0.000 0.000
Os1 0.500 0.500 0.500
W1 0.000 0.500 0.500
```



Winner for stability: version 2



Version 1
A plane-wave DFT calculation with PBE was carried out for crystalline La2OsW at its relaxed geometry.

Calculated values
DOS at the Fermi energy = 1.7382 states/eV/atom
size of the total moment = 0.0 μB per cell

CIF file:
```
data_La2OsW
_chemical_formula_sum 'La2 Os1 W1'
_cell_length_a 3.289
_cell_length_b 3.874
_cell_length_c 7.330
_cell_angle_alpha 90.00
_cell_angle_beta 90.00
_cell_angle_gamma 90.00
_space_group_name_H-M_alt 'P m m m'
_space_group_IT_number 47
loop_
_space_group_symop_operation_xyz
'x,y,z'
'-x,-y,-z'
'-x,-y,z'
'x,y,-z'
'x,-y,-z'
'-x,y,z'
'-x,y,-z'
'x,-y,z'
loop_
_atom_site_label
_atom_site_fract_x
_atom_site_fract_y
_atom_site_fract_z
La1 0.000 0.000 0.234
Os1 0.500 0.500 0.000
W1 0.500 0.500 0.500
```



Version 2
A plane-wave DFT calculation with PBE was carried out for crystalline La2OsW at its relaxed geometry.

Calculated values
DOS at the Fermi energy = 0.7554 states/eV/atom
size of the total moment = 0.0 μB per cell

CIF file:
```
data_La2OsW
_chemical_formula_sum 'La4 Os2 W2'
_cell_length_a 3.273
_cell_length_b 5.129
_cell_length_c 10.126
_cell_angle_alpha 90.00
_cell_angle_beta 90.00
_cell_angle_gamma 90.00
_space_group_name_H-M_alt 'I m m m'
_space_group_IT_number 71
_space_group_name_Hall '-I 2 2'
loop_
_atom_site_label
_atom_site_fract_x
_atom_site_fract_y
_atom_site_fract_z
La1 0.000 0.000 0.240
Os1 0.000 0.500 0.500
W1 0.000 0.500 0.000
```



Version 3
A plane-wave DFT calculation with PBE was carried out for crystalline La2OsW at its relaxed geometry.

Calculated values
DOS at the Fermi energy = 1.1590 states/eV/atom
size of the total moment = 0.0 μB per cell

CIF file:
```
data_La2OsW
_chemical_formula_sum 'La4 Os2 W2'
_cell_length_a 4.221
_cell_length_b 4.221
_cell_length_c 10.047
_cell_angle_alpha 90.00
_cell_angle_beta 90.00
_cell_angle_gamma 90.00
_space_group_name_H-M_alt 'I -4 m 2'
_space_group_IT_number 119
_space_group_name_Hall 'I -4 -2'
loop_
_atom_site_label
_atom_site_fract_x
_atom_site_fract_y
_atom_site_fract_z
La1 0.000 0.000 0.000
La2 0.000 0.500 0.250
Os1 0.000 0.500 0.750
W1 0.000 0.000 0.500
```



Version 4
A plane-wave DFT calculation with PBE was carried out for crystalline La2OsW at its relaxed geometry.

Calculated values
DOS at the Fermi energy = 1.2187 states/eV/atom
size of the total moment = 0.0 μB per cell

CIF file:
```
data_La2OsW
_chemical_formula_sum 'La2 Os1 W1'
_cell_length_a 3.141
_cell_length_b 4.011
_cell_length_c 8.346
_cell_angle_alpha 90.00
_cell_angle_beta 94.84
_cell_angle_gamma 90.00
_space_group_name_H-M_alt 'P 1 m 1'
_space_group_IT_number 6
loop_
_space_group_symop_operation_xyz
'x,y,z'
'x,-y,z'
loop_
_atom_site_label
_atom_site_fract_x
_atom_site_fract_y
_atom_site_fract_z
La1 0.000 0.000 0.000
La2 0.278 0.500 0.597
Os1 0.432 0.500 0.235
W1 0.810 0.000 0.344
```



Winner for stability: version 4



Version 1
A plane-wave DFT calculation with PBE was carried out for crystalline La2OsW at its relaxed geometry.

Calculated values
DOS at the Fermi energy = 1.6721 states/eV/atom
size of the total moment = 2.3 μB per cell

CIF file:
```
data_La2OsW
_chemical_formula_sum 'La8 Os4 W4'
_cell_length_a 8.152
_cell_length_b 8.152
_cell_length_c 5.795
_cell_angle_alpha 90.00
_cell_angle_beta 90.00
_cell_angle_gamma 90.00
_space_group_name_H-M_alt 'I -4 2 d'
_space_group_IT_number 122
_space_group_name_Hall 'I -4 2bw'
loop_
_atom_site_label
_atom_site_fract_x
_atom_site_fract_y
_atom_site_fract_z
La1 0.217 0.250 0.125
Os1 0.000 0.000 0.000
W1 0.000 0.000 0.500
```



Version 2
A plane-wave DFT calculation with PBE was carried out for crystalline La2OsW at its relaxed geometry.

Calculated values
DOS at the Fermi energy = 0.7026 states/eV/atom
size of the total moment = 0.0 μB per cell

CIF file:
```
data_La2OsW
_chemical_formula_sum 'La4 Os2 W2'
_cell_length_a 3.469
_cell_length_b 5.102
_cell_length_c 9.797
_cell_angle_alpha 90.00
_cell_angle_beta 90.00
_cell_angle_gamma 90.00
_space_group_name_H-M_alt 'C m m m'
_space_group_IT_number 65
_space_group_name_Hall '-C 2 2'
loop_
_atom_site_label
_atom_site_fract_x
_atom_site_fract_y
_atom_site_fract_z
La1 0.000 0.000 0.236
Os1 0.000 0.500 0.000
W1 0.000 0.500 0.500
```



Version 3
A plane-wave DFT calculation with PBE was carried out for crystalline La2OsW at its relaxed geometry.

Calculated values
DOS at the Fermi energy = 0.9521 states/eV/atom
size of the total moment = 0.0 μB per cell

CIF file:
```
data_La2OsW
_chemical_formula_sum 'La4 Os2 W2'
_cell_length_a 12.379
_cell_length_b 3.569
_cell_length_c 5.082
_cell_angle_alpha 90.00
_cell_angle_beta 113.96
_cell_angle_gamma 90.00
_space_group_name_H-M_alt 'C 1 m 1'
_space_group_IT_number 8
loop_
_space_group_symop_operation_xyz
'x,y,z'
'x,-y,z'
'x+1/2,y+1/2,z'
'x+1/2,-y+1/2,z'
loop_
_atom_site_label
_atom_site_fract_x
_atom_site_fract_y
_atom_site_fract_z
La1 0.000 0.000 0.000
La2 0.211 0.000 0.713
Os1 0.436 0.000 0.436
W1 0.292 0.500 0.293
```



Version 4
A plane-wave DFT calculation with PBE was carried out for crystalline La2OsW at its relaxed geometry.

Calculated values
DOS at the Fermi energy = 1.2064 states/eV/atom
size of the total moment = 0.0 μB per cell

CIF file:
```
data_La2OsW
_chemical_formula_sum 'La4 Os2 W2'
_cell_length_a 6.135
_cell_length_b 9.690
_cell_length_c 3.120
_cell_angle_alpha 90.00
_cell_angle_beta 113.52
_cell_angle_gamma 90.00
_space_group_name_H-M_alt 'C 1 2/m 1'
_space_group_IT_number 12
loop_
_space_group_symop_operation_xyz
'x,y,z'
'-x,-y,-z'
'-x,y,-z'
'x,-y,z'
'x+1/2,y+1/2,z'
'-x+1/2,-y+1/2,-z'
'-x+1/2,y+1/2,-z'
'x+1/2,-y+1/2,z'
loop_
_atom_site_label
_atom_site_fract_x
_atom_site_fract_y
_atom_site_fract_z
La1 0.250 0.250 0.000
Os1 0.000 0.000 0.500
W1 0.000 0.500 0.500
```



Winner for stability: version 3



Version 1
A plane-wave DFT calculation with PBE was carried out for crystalline La2OsW at its relaxed geometry.

Calculated values
DOS at the Fermi energy = 0.9999 states/eV/atom
size of the total moment = 0.0 μB per cell

CIF file:
```
data_La2OsW
_chemical_formula_sum 'La2 Os1 W1'
_cell_length_a 3.202
_cell_length_b 3.202
_cell_length_c 9.515
_cell_angle_alpha 90.00
_cell_angle_beta 90.00
_cell_angle_gamma 90.00
_space_group_name_H-M_alt 'P 4 m m'
_space_group_IT_number 99
loop_
_space_group_symop_operation_xyz
'x,y,z'
'-y,x,z'
'-x,-y,z'
'y,-x,z'
'-x,y,z'
'y,x,z'
'x,-y,z'
'-y,-x,z'
loop_
_atom_site_label
_atom_site_fract_x
_atom_site_fract_y
_atom_site_fract_z
La1 0.000 0.000 0.000
La2 0.500 0.500 0.385
Os1 0.000 0.000 0.615
W1 0.500 0.500 0.759
```



Version 2
A plane-wave DFT calculation with PBE was carried out for crystalline La2OsW at its relaxed geometry.

Calculated values
DOS at the Fermi energy = 0.9584 states/eV/atom
size of the total moment = 0.0 μB per cell

CIF file:
```
data_La2OsW
_chemical_formula_sum 'La8 Os4 W4'
_cell_length_a 7.000
_cell_length_b 7.000
_cell_length_c 7.000
_cell_angle_alpha 90.00
_cell_angle_beta 90.00
_cell_angle_gamma 90.00
_space_group_name_H-M_alt 'F -4 3 m'
_space_group_IT_number 216
_space_group_name_Hall 'F -4 2 3'
loop_
_atom_site_label
_atom_site_fract_x
_atom_site_fract_y
_atom_site_fract_z
La1 0.000 0.000 0.000
La2 0.250 0.250 0.250
Os1 0.250 0.250 0.750
W1 0.000 0.000 0.500
```



Version 3
A plane-wave DFT calculation with PBE was carried out for crystalline La2OsW at its relaxed geometry.

Calculated values
DOS at the Fermi energy = 1.2664 states/eV/atom
size of the total moment = 6.6 μB per cell

CIF file:
```
data_La2OsW
_chemical_formula_sum 'La8 Os4 W4'
_cell_length_a 7.215
_cell_length_b 7.215
_cell_length_c 7.215
_cell_angle_alpha 90.00
_cell_angle_beta 90.00
_cell_angle_gamma 90.00
_space_group_name_H-M_alt 'F m -3 m'
_space_group_IT_number 225
_space_group_name_Hall '-F 4 2 3'
loop_
_atom_site_label
_atom_site_fract_x
_atom_site_fract_y
_atom_site_fract_z
La1 0.250 0.250 0.250
Os1 0.000 0.000 0.000
W1 0.000 0.000 0.500
```



Version 4
A plane-wave DFT calculation with PBE was carried out for crystalline La2OsW at its relaxed geometry.

Calculated values
DOS at the Fermi energy = 1.0946 states/eV/atom
size of the total moment = 0.0 μB per cell

CIF file:
```
data_La2OsW
_chemical_formula_sum 'La2 Os1 W1'
_cell_length_a 3.362
_cell_length_b 4.874
_cell_length_c 5.169
_cell_angle_alpha 90.00
_cell_angle_beta 90.00
_cell_angle_gamma 90.00
_space_group_name_H-M_alt 'P m m m'
_space_group_IT_number 47
loop_
_space_group_symop_operation_xyz
'x,y,z'
'-x,-y,-z'
'-x,-y,z'
'x,y,-z'
'x,-y,-z'
'-x,y,z'
'-x,y,-z'
'x,-y,z'
loop_
_atom_site_label
_atom_site_fract_x
_atom_site_fract_y
_atom_site_fract_z
La1 0.000 0.000 0.000
La2 0.500 0.000 0.500
Os1 0.000 0.500 0.500
W1 0.500 0.500 0.000
```



Winner for stability: version 1